Here is crystalline SrTh2UP4 at its relaxed geometry from Alexandria. Energies are from PBE.

Calculated values
Calculated total energy, eV for the cell shown: -59.47
Theoretical density, g/cm³: 7.6

Cell: 5.8475 5.8475 7.1685 Å, 114.07 114.07 90.00°
Site moments in Bohr magnetons follow the coordinates.
Element x y z (fractional)
Sr 0.5000 0.5000 0.0000  0.00
Th 0.2500 0.7500 0.5000  0.03
Th 0.0000 0.0000 0.0000  0.03
U 0.7500 0.2500 0.5000  2.17
P 0.9929 0.4929 0.9858  -0.03
P 0.5071 0.0071 0.0142  -0.03
P 0.7547 0.7547 0.5094  -0.04
P 0.2453 0.2453 0.4906  -0.04